Record 1
# ScTcO2F meta-GGA SCAN single point on PBEsol structure
data_ScTcO2F
_chemical_formula_sum 'Sc1 Tc1 O2 F1'
_cell_length_a 3.9324
_cell_length_b 4.0691
_cell_length_c 4.0691
_cell_angle_alpha 90.00
_cell_angle_beta 90.00
_cell_angle_gamma 90.00
_symmetry_space_group_name_H-M 'P 1'
_symmetry_Int_Tables_number 1
loop_
_symmetry_equiv_pos_as_xyz
'x,y,z'
loop_
_atom_site_label
_atom_site_type_symbol
_atom_site_fract_x
_atom_site_fract_y
_atom_site_fract_z
F1 F 0.5000 0.0000 0.0000
O1 O 0.0000 0.0000 0.5000
O2 O 0.0000 0.5000 0.0000
Sc1 Sc 0.0000 0.0000 0.0000
Tc1 Tc 0.5000 0.5000 0.5000
# - volume (Å³ per cell) = 65.11
# - total moment (μB/cell) = 5.00
# - uncorrected formation energy (eV per atom) = -1.996
# - symmetry = P4/mmm, No. 123
# - final energy (eV/atom) = -15.06

Record 2
# Li3Pt meta-GGA SCAN single point on PBEsol structure
data_Li3Pt
_chemical_formula_sum 'Li3 Pt1'
_cell_length_a 4.2402
_cell_length_b 4.2402
_cell_length_c 4.2402
_cell_angle_alpha 60.00
_cell_angle_beta 60.00
_cell_angle_gamma 60.00
_symmetry_space_group_name_H-M 'P 1'
_symmetry_Int_Tables_number 1
loop_
_symmetry_equiv_pos_as_xyz
'x,y,z'
loop_
_atom_site_label
_atom_site_type_symbol
_atom_site_fract_x
_atom_site_fract_y
_atom_site_fract_z
Li1 Li 0.2500 0.2500 0.2500
Li2 Li 0.7500 0.7500 0.7500
Li3 Li 0.0000 0.0000 0.0000
Pt1 Pt 0.5000 0.5000 0.5000
# - volume (Å³ per cell) = 53.91
# - total moment (μB/cell) = 0.00
# - ΔH_f (0 K) (eV per atom) = -0.49
# - density of states at the Fermi level (states/eV per atom) = 0.2989
# - symmetry = Fm-3m, No. 225
# - ΔE to the lowest computed polymorph (eV per atom) = 0.000
# - final energy (eV/atom) = -19.83

Record 3
# BaCo2Si meta-GGA SCAN single point on PBEsol structure
data_BaCo2Si
_chemical_formula_sum 'Ba1 Co2 Si1'
_cell_length_a 4.7141
_cell_length_b 4.7141
_cell_length_c 4.7141
_cell_angle_alpha 60.00
_cell_angle_beta 60.00
_cell_angle_gamma 60.00
_symmetry_space_group_name_H-M 'P 1'
_symmetry_Int_Tables_number 1
loop_
_symmetry_equiv_pos_as_xyz
'x,y,z'
loop_
_atom_site_label
_atom_site_type_symbol
_atom_site_fract_x
_atom_site_fract_y
_atom_site_fract_z
Si1 Si 0.2500 0.2500 0.2500
Co1 Co 0.0000 0.0000 0.0000
Co2 Co 0.7500 0.7500 0.7500
Ba1 Ba 0.5000 0.5000 0.5000
# - volume (Å³ per cell) = 74.08
# - total moment (μB/cell) = 4.28
# - uncorrected formation energy (eV per atom) = 0.839
# - density of states at the Fermi level (states/eV per atom) = 0.2517
# - symmetry = F-43m, No. 216
# - final energy (eV/atom) = -20.20

Record 4
# TaAg3O meta-GGA SCAN single point on PBEsol structure
data_TaAg3O
_chemical_formula_sum 'Ta1 Ag3 O1'
_cell_length_a 4.3408
_cell_length_b 4.3408
_cell_length_c 4.3408
_cell_angle_alpha 90.00
_cell_angle_beta 90.00
_cell_angle_gamma 90.00
_symmetry_space_group_name_H-M 'P 1'
_symmetry_Int_Tables_number 1
loop_
_symmetry_equiv_pos_as_xyz
'x,y,z'
loop_
_atom_site_label
_atom_site_type_symbol
_atom_site_fract_x
_atom_site_fract_y
_atom_site_fract_z
Ta1 Ta 0.5000 0.5000 0.5000
Ag1 Ag 0.5000 0.0000 0.0000
Ag2 Ag 0.0000 0.0000 0.5000
Ag3 Ag 0.0000 0.5000 0.0000
O1 O 0.0000 0.0000 0.0000
# - volume (Å³ per cell) = 81.79
# - total moment (μB/cell) = 2.89
# - uncorrected formation energy (eV per atom) = 0.854
# - density of states at the Fermi level (states/eV per atom) = 0.5517
# - symmetry = Pm-3m, No. 221
# - final energy (eV/atom) = -32.53

Record 5
# Sr2MoPb meta-GGA SCAN single point on PBEsol structure
data_Sr2MoPb
_chemical_formula_sum 'Sr2 Mo1 Pb1'
_cell_length_a 3.9992
_cell_length_b 5.4351
_cell_length_c 6.4273
_cell_angle_alpha 115.01
_cell_angle_beta 108.13
_cell_angle_gamma 90.00
_symmetry_space_group_name_H-M 'P 1'
_symmetry_Int_Tables_number 1
loop_
_symmetry_equiv_pos_as_xyz
'x,y,z'
loop_
_atom_site_label
_atom_site_type_symbol
_atom_site_fract_x
_atom_site_fract_y
_atom_site_fract_z
Sr1 Sr 0.7693 0.7693 0.5387
Sr2 Sr 0.9770 0.4770 0.9539
Mo1 Mo 0.5400 0.0400 0.0800
Pb1 Pb 0.2137 0.2137 0.4274
# - volume (Å³ per cell) = 118.91
# - total moment (μB/cell) = 2.55
# - ΔH_f (0 K) (eV per atom) = 0.33
# - density of states at the Fermi level (states/eV per atom) = 0.6977
# - symmetry = Imm2, No. 44
# - final energy (eV/atom) = -38.48

Record 6
# Zr3N2O3 meta-GGA SCAN single point on PBEsol structure
data_Zr3N2O3
_chemical_formula_sum 'Zr6 N4 O6'
_cell_length_a 4.0325
_cell_length_b 5.6698
_cell_length_c 10.5856
_cell_angle_alpha 90.00
_cell_angle_beta 90.00
_cell_angle_gamma 110.83
_symmetry_space_group_name_H-M 'P 1'
_symmetry_Int_Tables_number 1
loop_
_symmetry_equiv_pos_as_xyz
'x,y,z'
loop_
_atom_site_label
_atom_site_type_symbol
_atom_site_fract_x
_atom_site_fract_y
_atom_site_fract_z
O1 O 0.9564 0.9127 0.8840
O2 O 0.0436 0.0873 0.3840
O3 O 0.0436 0.0873 0.1160
O4 O 0.9564 0.9127 0.6160
O5 O 0.2459 0.4919 0.7500
O6 O 0.7541 0.5081 0.2500
Zr1 Zr 0.1435 0.2870 0.5575
Zr2 Zr 0.8565 0.7130 0.0575
Zr3 Zr 0.8565 0.7130 0.4425
Zr4 Zr 0.1916 0.3831 0.2500
Zr5 Zr 0.1435 0.2870 0.9425
Zr6 Zr 0.8084 0.6169 0.7500
N1 N 0.7012 0.4024 0.5786
N2 N 0.7012 0.4024 0.9214
N3 N 0.2988 0.5976 0.0786
N4 N 0.2988 0.5976 0.4214
# - volume (Å³ per cell) = 226.20
# - total moment (μB/cell) = 0.00
# - uncorrected formation energy (eV per atom) = -2.947
# - density of states at the Fermi level (states/eV per atom) = 0.0000
# - symmetry = Cmcm, No. 63
# - ΔE to the lowest computed polymorph (eV per atom) = 0.000
# - final energy (eV/atom) = -19.12

Record 7
# TlHgCl2 meta-GGA SCAN single point on PBEsol structure
data_TlHgCl2
_chemical_formula_sum 'Tl1 Hg1 Cl2'
_cell_length_a 4.7129
_cell_length_b 4.7129
_cell_length_c 6.1103
_cell_angle_alpha 67.32
_cell_angle_beta 67.32
_cell_angle_gamma 60.00
_symmetry_space_group_name_H-M 'P 1'
_symmetry_Int_Tables_number 1
loop_
_symmetry_equiv_pos_as_xyz
'x,y,z'
loop_
_atom_site_label
_atom_site_type_symbol
_atom_site_fract_x
_atom_site_fract_y
_atom_site_fract_z
Cl1 Cl 0.7596 0.7596 0.7211
Cl2 Cl 0.2404 0.2404 0.2789
Hg1 Hg 0.5000 0.5000 0.5000
Tl1 Tl 0.0000 0.0000 0.0000
# - volume (Å³ per cell) = 105.24
# - total moment (μB/cell) = 0.00
# - uncorrected formation energy (eV per atom) = -0.579
# - density of states at the Fermi level (states/eV per atom) = 0.4868
# - symmetry = R-3m, No. 166
# - final energy (eV/atom) = -39.70

Record 8
# Be3Co meta-GGA SCAN single point on PBEsol structure
data_Be3Co
_chemical_formula_sum 'Be3 Co1'
_cell_length_a 2.2782
_cell_length_b 2.2782
_cell_length_c 7.0346
_cell_angle_alpha 90.00
_cell_angle_beta 90.00
_cell_angle_gamma 107.85
_symmetry_space_group_name_H-M 'P 1'
_symmetry_Int_Tables_number 1
loop_
_symmetry_equiv_pos_as_xyz
'x,y,z'
loop_
_atom_site_label
_atom_site_type_symbol
_atom_site_fract_x
_atom_site_fract_y
_atom_site_fract_z
Co1 Co 0.5000 0.5000 0.5000
Be1 Be 0.0000 0.0000 0.2518
Be2 Be 0.5000 0.5000 0.0000
Be3 Be 0.0000 0.0000 0.7482
# - volume (Å³ per cell) = 34.75
# - total moment (μB/cell) = 1.61
# - ΔH_f (0 K) (eV per atom) = 0.00
# - density of states at the Fermi level (states/eV per atom) = 0.3542
# - symmetry = Cmmm, No. 65
# - final energy (eV/atom) = -7.59

Record 9
# MgTePb2 meta-GGA SCAN single point on PBEsol structure
data_MgTePb2
_chemical_formula_sum 'Mg1 Te1 Pb2'
_cell_length_a 4.8260
_cell_length_b 4.8260
_cell_length_c 5.8872
_cell_angle_alpha 114.20
_cell_angle_beta 114.20
_cell_angle_gamma 90.00
_symmetry_space_group_name_H-M 'P 1'
_symmetry_Int_Tables_number 1
loop_
_symmetry_equiv_pos_as_xyz
'x,y,z'
loop_
_atom_site_label
_atom_site_type_symbol
_atom_site_fract_x
_atom_site_fract_y
_atom_site_fract_z
Pb1 Pb 0.0000 0.0000 0.0000
Pb2 Pb 0.7500 0.2500 0.5000
Te1 Te 0.5000 0.5000 0.0000
Mg1 Mg 0.2500 0.7500 0.5000
# - volume (Å³ per cell) = 111.73
# - total moment (μB/cell) = 0.00
# - uncorrected formation energy (eV per atom) = -0.027
# - density of states at the Fermi level (states/eV per atom) = 0.5091
# - symmetry = I-4m2, No. 119
# - final energy (eV/atom) = -48.47

Record 10
# AlTl2Cr meta-GGA SCAN single point on PBEsol structure
data_AlTl2Cr
_chemical_formula_sum 'Al1 Tl2 Cr1'
_cell_length_a 3.0564
_cell_length_b 4.7204
_cell_length_c 6.4940
_cell_angle_alpha 111.31
_cell_angle_beta 103.61
_cell_angle_gamma 90.00
_symmetry_space_group_name_H-M 'P 1'
_symmetry_Int_Tables_number 1
loop_
_symmetry_equiv_pos_as_xyz
'x,y,z'
loop_
_atom_site_label
_atom_site_type_symbol
_atom_site_fract_x
_atom_site_fract_y
_atom_site_fract_z
Tl1 Tl 0.7478 0.2478 0.4955
Tl2 Tl 0.9574 0.9574 0.9147
Al1 Al 0.5564 0.5564 0.1127
Cr1 Cr 0.2385 0.7385 0.4770
# - volume (Å³ per cell) = 84.45
# - total moment (μB/cell) = 3.61
# - ΔH_f (0 K) (eV per atom) = 0.29
# - density of states at the Fermi level (states/eV per atom) = 0.5044
# - symmetry = Imm2, No. 44
# - ΔE to the lowest computed polymorph (eV per atom) = 0.000
# - final energy (eV/atom) = -42.42

Record 11
# Sr2RhAu meta-GGA SCAN single point on PBEsol structure
data_Sr2RhAu
_chemical_formula_sum 'Sr2 Rh1 Au1'
_cell_length_a 3.5884
_cell_length_b 3.5884
_cell_length_c 7.5349
_cell_angle_alpha 90.00
_cell_angle_beta 90.00
_cell_angle_gamma 90.00
_symmetry_space_group_name_H-M 'P 1'
_symmetry_Int_Tables_number 1
loop_
_symmetry_equiv_pos_as_xyz
'x,y,z'
loop_
_atom_site_label
_atom_site_type_symbol
_atom_site_fract_x
_atom_site_fract_y
_atom_site_fract_z
Sr1 Sr 0.0000 0.0000 0.2666
Sr2 Sr 0.0000 0.0000 0.7334
Au1 Au 0.5000 0.5000 0.0000
Rh1 Rh 0.5000 0.5000 0.5000
# - volume (Å³ per cell) = 97.03
# - total moment (μB/cell) = 0.00
# - ΔH_f (0 K) (eV per atom) = -0.50
# - density of states at the Fermi level (states/eV per atom) = 0.3817
# - symmetry = P4/mmm, No. 123
# - final energy (eV/atom) = -37.37

Which formula does entry 7 have?
TlHgCl2